Entry 1:
An optimized crystal structure of NiAsBr2. Source: Alexandria, functional GGA-PBE.

Cell and atoms, written as CIF:
```
data_NiAsBr2
_symmetry_space_group_name_H-M 'P 1'
_symmetry_Int_Tables_number 1
_cell_length_a 7.6812
_cell_length_b 7.6812
_cell_length_c 4.3229
_cell_angle_alpha 99.94
_cell_angle_beta 99.94
_cell_angle_gamma 25.02
loop_
_symmetry_equiv_pos_as_xyz
'x,y,z'
loop_
_atom_site_label
_atom_site_fract_x
_atom_site_fract_y
_atom_site_fract_z
Ni1 0.0000 0.0000 0.0000
As1 0.5000 0.5000 0.5000
Br1 0.3676 0.3676 0.8221
Br2 0.6324 0.6324 0.1779
```

## Properties
Raw formation energy ... 0.068 eV/atom
Energy above the most stable polymorph in this dataset ... 352 meV per atom
Size of the total moment ... 0.69 μB/cell
SG ... C2/m (12)



Entry 2:
An optimized crystal structure of NiAs3Br. Source: Alexandria, functional GGA-PBE.

Cell and atoms, written as CIF:
```
data_NiAs3Br
_symmetry_space_group_name_H-M 'P 1'
_symmetry_Int_Tables_number 1
_cell_length_a 4.7109
_cell_length_b 4.7109
_cell_length_c 4.7109
_cell_angle_alpha 90.00
_cell_angle_beta 90.00
_cell_angle_gamma 90.00
loop_
_symmetry_equiv_pos_as_xyz
'x,y,z'
loop_
_atom_site_label
_atom_site_fract_x
_atom_site_fract_y
_atom_site_fract_z
Ni1 0.0000 0.0000 0.0000
As1 0.0000 0.0000 0.5000
As2 0.0000 0.5000 0.0000
As3 0.5000 0.0000 0.0000
Br1 0.5000 0.5000 0.5000
```

## Properties
Raw formation energy ... 0.501 eV/atom
Energy above the most stable polymorph in this dataset ... 0 meV per atom
Size of the total moment ... 0.00 μB/cell
SG ... Pm-3m (221)



Entry 3:
An optimized crystal structure of NiAsBr2. Source: Alexandria, functional GGA-PBE.

Cell and atoms, written as CIF:
```
data_NiAsBr2
_symmetry_space_group_name_H-M 'P 1'
_symmetry_Int_Tables_number 1
_cell_length_a 4.9082
_cell_length_b 4.9082
_cell_length_c 3.3373
_cell_angle_alpha 90.00
_cell_angle_beta 90.00
_cell_angle_gamma 90.00
loop_
_symmetry_equiv_pos_as_xyz
'x,y,z'
loop_
_atom_site_label
_atom_site_fract_x
_atom_site_fract_y
_atom_site_fract_z
Ni1 0.0000 0.0000 0.0000
As1 0.5000 0.5000 0.0000
Br1 0.0000 0.5000 0.5000
Br2 0.5000 0.0000 0.5000
```

## Properties
Raw formation energy ... 0.688 eV/atom
Energy above the most stable polymorph in this dataset ... 973 meV per atom
Size of the total moment ... 0.85 μB/cell
SG ... P4/mmm (123)



Entry 4:
An optimized crystal structure of Ni3AsBr. Source: Alexandria, functional GGA-PBE.

Cell and atoms, written as CIF:
```
data_Ni3AsBr
_symmetry_space_group_name_H-M 'P 1'
_symmetry_Int_Tables_number 1
_cell_length_a 4.4659
_cell_length_b 4.4659
_cell_length_c 4.4659
_cell_angle_alpha 90.00
_cell_angle_beta 90.00
_cell_angle_gamma 90.00
loop_
_symmetry_equiv_pos_as_xyz
'x,y,z'
loop_
_atom_site_label
_atom_site_fract_x
_atom_site_fract_y
_atom_site_fract_z
Ni1 0.0000 0.0000 0.5000
Ni2 0.0000 0.5000 0.0000
Ni3 0.5000 0.0000 0.0000
As1 0.0000 0.0000 0.0000
Br1 0.5000 0.5000 0.5000
```

## Properties
Raw formation energy ... 0.529 eV/atom
Energy above the most stable polymorph in this dataset ... 0 meV per atom
Size of the total moment ... 0.00 μB/cell
SG ... Pm-3m (221)



Entry 5:
An optimized crystal structure of NiAsBr2. Source: Alexandria, functional GGA-PBE.

Cell and atoms, written as CIF:
```
data_NiAsBr2
_symmetry_space_group_name_H-M 'P 1'
_symmetry_Int_Tables_number 1
_cell_length_a 6.0761
_cell_length_b 6.0761
_cell_length_c 6.0761
_cell_angle_alpha 108.42
_cell_angle_beta 108.42
_cell_angle_gamma 111.60
loop_
_symmetry_equiv_pos_as_xyz
'x,y,z'
loop_
_atom_site_label
_atom_site_fract_x
_atom_site_fract_y
_atom_site_fract_z
Ni1 0.0000 0.0000 0.0000
Ni2 0.7500 0.2500 0.5000
As1 0.2500 0.7500 0.5000
As2 0.5000 0.5000 0.0000
Br1 0.0779 0.6250 0.9529
Br2 0.3750 0.3279 0.4529
Br3 0.6721 0.1250 0.0471
Br4 0.8750 0.9221 0.5471
```

## Properties
Raw formation energy ... 0.405 eV/atom
Energy above the most stable polymorph in this dataset ... 689 meV per atom
Size of the total moment ... 0.96 μB/cell
SG ... I-42d (122)



> Look up the energy above the most stable polymorph in this dataset of the third one.

973 meV per atom